(1)
A relaxed structure of ScSnAu2Cl. Source: the Alexandria database, functional PBE.

Its energy relative to the elements, uncorrected is 47.6 kJ/mol of atoms. Its density of states at the Fermi level is 0.2592 states/eV/atom. Its volume is 25.71 Å³/atom. The calculated density comes out at 7.66 g/cm³. As for the crystal system: tetragonal. As for the electronic total energy: -16.27 eV/f.u.

The space group is P4/mmm (No. 123) and the conventional cell measures 4.8840, 4.8840 and 5.3888 Å, with angles of 90.00, 90.00 and 90.00 degrees. Symmetry generates all atoms from Sc at (0.0000, 0.0000, 0.0000), Sn at (0.5000, 0.5000, 0.0000), Au at (0.0000, 0.5000, 0.5000) and Cl at (0.5000, 0.5000, 0.5000).

***

(2)
A relaxed structure of ScTiAu2Cl. Source: the Alexandria database, functional PBE.

Its energy relative to the elements, uncorrected is 18.2 kJ/mol of atoms. Its density of states at the Fermi level is 1.6026 states/eV/atom. Its volume is 25.21 Å³/atom. The calculated density comes out at 6.88 g/cm³. As for the crystal system: tetragonal. As for the electronic total energy: -21.69 eV/f.u.

The space group is P4/mmm (No. 123) and the conventional cell measures 5.2015, 5.2015 and 4.6585 Å, with angles of 90.00, 90.00 and 90.00 degrees. Symmetry generates all atoms from Sc at (0.0000, 0.0000, 0.0000), Ti at (0.5000, 0.5000, 0.5000), Au at (0.0000, 0.5000, 0.0000) and Cl at (0.0000, 0.0000, 0.5000).

***

(3)
A relaxed structure of AuSeCl2. Source: the Alexandria database, functional PBE.

Its energy relative to the elements, uncorrected is 27.2 kJ/mol of atoms. Its density of states at the Fermi level is 0.7393 states/eV/atom. Its volume is 24.27 Å³/atom. The calculated density comes out at 5.93 g/cm³. For the energy relative to the lowest polymorph listed for this composition, the calculation gives 9.91 kcal/mol of atoms. As for the crystal system: orthorhombic. As for the electronic total energy: -9.33 eV/f.u.

The space group is Pmmm (No. 47) and the conventional cell measures 3.2898, 4.1203 and 7.1614 Å, with angles of 90.00, 90.00 and 90.00 degrees. Symmetry generates all atoms from Au at (0.0000, 0.0000, 0.0000), Se at (0.5000, 0.0000, 0.5000), Cl at (0.0000, 0.5000, 0.5000) and Cl at (0.5000, 0.5000, 0.0000).

***

(4)
A relaxed structure of AuSeCl2. Source: the Alexandria database, functional PBE.

Its energy relative to the elements, uncorrected is -1.3 kJ/mol of atoms. Its density of states at the Fermi level is 0.8966 states/eV/atom. Its volume is 28.40 Å³/atom. The calculated density comes out at 5.07 g/cm³. For the energy relative to the lowest polymorph listed for this composition, the calculation gives 3.11 kcal/mol of atoms. As for the crystal system: orthorhombic. As for the electronic total energy: -10.51 eV/f.u.

The space group is Cmm2 (No. 35) and the conventional cell measures 3.5730, 7.2700 and 8.7470 Å, with angles of 90.00, 90.00 and 90.00 degrees. Symmetry generates all atoms from Au at (0.0000, 0.0000, 0.0000), Se at (0.0000, 0.5000, 0.1988), Cl at (0.0000, 0.0000, 0.4266) and Cl at (0.0000, 0.5000, 0.8070).

***

(5)
A relaxed structure of AuSe2Cl. Source: the Alexandria database, functional PBE.

Its energy relative to the elements, uncorrected is 20.0 kJ/mol of atoms. Its density of states at the Fermi level is 0.9256 states/eV/atom. Its volume is 24.57 Å³/atom. The calculated density comes out at 6.60 g/cm³. As for the crystal system: orthorhombic. As for the electronic total energy: -11.27 eV/f.u.

The space group is Immm (No. 71) and the conventional cell measures 3.9140, 6.2646 and 8.0160 Å, with angles of 90.00, 90.00 and 90.00 degrees. Symmetry generates all atoms from Au at (0.0000, 0.0000, 0.0000), Se at (0.0000, 0.5000, 0.3081) and Cl at (0.0000, 0.0000, 0.5000).

***

(6)
A relaxed structure of AuSe2Cl. Source: the Alexandria database, functional PBE.

Its energy relative to the elements, uncorrected is -1.7 kJ/mol of atoms. Its density of states at the Fermi level is 0.1413 states/eV/atom. Its volume is 22.29 Å³/atom. The calculated density comes out at 7.27 g/cm³. As for the crystal system: trigonal. As for the electronic total energy: -12.16 eV/f.u.

The space group is R-3m (No. 166, hexagonal axes) and the conventional cell measures 3.8898, 3.8898 and 20.4157 Å, with angles of 90.00, 90.00 and 120.00 degrees. Symmetry generates all atoms from Au at (0.0000, 0.0000, 0.0000), Se at (0.0000, 0.0000, 0.2670) and Cl at (0.0000, 0.0000, 0.5000).